# Ho6Er2Sc

A relaxed structure of Ho6Er2Sc (PBE-GGA, Alexandria).

extended XYZ file:
```
18
Lattice="7.1658 -6.0937 0.0000 7.1658 6.0937 0.0000 -2.9338 0.0000 6.3657" Properties=species:S:1:pos:R:3 pbc="T T T"
Ho 3.1429 2.6623 1.7278
Ho 4.2001 4.3490 6.2425
Ho 5.7307 4.3490 3.3061
Ho 3.3513 0.8378 4.9804
Ho 4.8182 -0.8378 1.7976
Ho 1.6760 -2.6623 4.9106
Ho 9.7217 2.6623 1.4551
Ho 6.5795 0.8378 4.5682
Ho 8.0465 -0.8378 1.3853
Ho 5.6670 -4.3490 3.0596
Ho 7.1976 -4.3490 0.1232
Ho 8.2548 -2.6623 4.6380
Er -0.0637 0.1943 5.6834
Er 1.4032 -0.1943 2.5006
Er 9.9946 0.1943 3.8652
Er 11.4615 -0.1943 0.6823
Sc 6.4323 1.9469 1.5914
Sc 4.9654 -1.9469 4.7743
```

Summary:
The value obtained for the energy relative to the elements is 164 meV/atom. The relative energy among the computed polymorphs is 132 meV/atom. The symmetry is C2/c.

***

# La2CuNi12P3

A relaxed structure of La2CuNi12P3 (PBE-GGA, Alexandria).

extended XYZ file:
```
18
Lattice="3.9968 2.3076 5.0981 -3.9968 2.3076 5.0981 0.0000 -4.6151 5.0981" Properties=species:S:1:pos:R:3 pbc="T T T"
La 0.0000 0.0000 1.9390
La 0.0000 0.0000 13.3552
Cu 0.0000 0.0000 7.6471
Ni -1.9599 -1.1315 7.1782
Ni 0.0000 -1.9630 5.5512
Ni -1.7000 0.9815 5.5512
Ni -1.7000 -0.9815 9.7429
Ni 0.0000 -2.2631 8.1160
Ni -1.9599 1.1315 8.1160
Ni 1.9599 -1.1315 7.1782
Ni 0.0000 2.2631 7.1782
Ni 1.7000 0.9815 5.5513
Ni 1.7000 -0.9815 9.7429
Ni 0.0000 1.9630 9.7429
Ni 1.9599 1.1315 8.1160
P -1.9984 -1.1538 5.0981
P -1.9984 1.1538 10.1961
P 0.0000 2.3076 5.0981
```

Summary:
The value obtained for the energy relative to the elements is -122 meV/atom. The symmetry is R-3m.

***

# LiPPbS2

A relaxed structure of LiPPbS2 (PBE-GGA, Alexandria).

extended XYZ file:
```
5
Lattice="4.8397 0.0000 0.0000 0.0000 4.8397 0.0000 0.0000 0.0000 4.2799" Properties=species:S:1:pos:R:3 pbc="T T T"
Li 0.0000 0.0000 0.0000
P 0.0000 0.0000 2.1399
Pb 2.4199 2.4199 2.1399
S 0.0000 2.4199 0.0000
S 2.4199 0.0000 0.0000
```

Summary:
The relative energy among the computed polymorphs is 0 meV/atom. The symmetry is P4/mmm.

***

# PrYHo2Er2

A relaxed structure of PrYHo2Er2 (PBE-GGA, Alexandria).

extended XYZ file:
```
12
Lattice="6.9312 0.0000 0.0000 0.0000 16.0918 0.0000 0.0000 0.0000 3.5249" Properties=species:S:1:pos:R:3 pbc="T T T"
Pr 0.0000 0.0000 0.0000
Pr 3.4656 8.0459 1.7625
Y 0.0000 8.0459 1.7625
Y 3.4656 0.0000 0.0000
Ho 1.7276 5.5029 0.0000
Ho 1.7380 13.5488 1.7625
Ho 5.1932 2.5430 1.7625
Ho 5.2036 10.5889 0.0000
Er 1.7290 2.5278 1.7625
Er 1.7366 10.5737 0.0000
Er 5.1947 5.5181 0.0000
Er 5.2022 13.5640 1.7625
```

Summary:
The value obtained for the energy relative to the elements is 172 meV/atom. The symmetry is Pnnm.

***

no.,final energy (eV per cell)
1,-82.89
2,-101.75
3,-17.95
4,-56.99